The following is a DFT calculation (PBE) of crystalline LaCuSiPd6 at its relaxed geometry.

**Density of states at the Fermi level**: 0.299 states/eV per atom
**Energy relative to the elements, uncorrected**: -0.32 eV per atom

POSCAR file:
```
LaCuSiPd6
1.0
5.670 0.000 0.000
0.000 9.311 0.000
-2.835 -4.656 6.322
La Cu Si Pd
2 2 2 12
Direct
0.842 0.592 0.683
0.158 0.408 0.317
0.500 0.000 0.500
0.000 0.000 0.500
0.500 0.500 0.000
0.500 0.000 0.000
0.435 0.685 0.870
0.933 0.183 0.867
0.894 0.126 0.283
0.389 0.657 0.283
0.389 0.126 0.283
0.894 0.657 0.283
0.565 0.315 0.130
0.067 0.817 0.133
0.106 0.874 0.717
0.611 0.343 0.717
0.611 0.874 0.717
0.106 0.343 0.717
```